A plane-wave DFT calculation with PBE was carried out for a geometry-optimized Cr2CoRe structure.

- Formation energy: 4.1 kcal/mol of atoms

Cell: 2.562 2.562 7.511 Å, 90.00 90.00 90.00°
Each line ends with the local moment (μB).
Sites, in units of the cell vectors:
Co: 0.500 0.500 0.764  -0.03
Cr: 0.000 0.000 0.989  -0.01
Cr: 0.500 0.500 0.236  0.12
Re: 0.000 0.000 0.511  0.00


A plane-wave DFT calculation with PBE was carried out for a geometry-optimized Sc2ZnP structure.

- Formation energy: -12.8 kcal/mol of atoms
- Energy above the most stable polymorph in this dataset: 296 meV per atom

Cell: 4.647 4.647 4.647 Å, 60.00 60.00 60.00°
Sites, in units of the cell vectors:
Sc: 0.250 0.250 0.250
Sc: 0.750 0.750 0.750
P: 0.000 0.000 0.000
Zn: 0.500 0.500 0.500


A plane-wave DFT calculation with PBE was carried out for a geometry-optimized CuNiH3 structure.

- Energy above the most stable polymorph in this dataset: 0 meV per atom

Cell: 4.011 6.276 6.276 Å, 125.46 90.00 90.00°
Sites, in units of the cell vectors:
Cu: 0.750 0.075 0.675
Cu: 0.250 0.925 0.325
Cu: 0.250 0.425 0.825
Cu: 0.750 0.575 0.175
Ni: 0.250 0.421 0.329
Ni: 0.750 0.579 0.671
Ni: 0.750 0.079 0.171
Ni: 0.250 0.921 0.829
H: 0.015 0.694 0.556
H: 0.985 0.306 0.444
H: 0.515 0.806 0.944
H: 0.485 0.194 0.056
H: 0.485 0.694 0.556
H: 0.515 0.306 0.444
H: 0.985 0.806 0.944
H: 0.015 0.194 0.056
H: 0.249 0.576 0.174
H: 0.751 0.424 0.826
H: 0.749 0.924 0.326
H: 0.251 0.076 0.674


A plane-wave DFT calculation with PBE was carried out for a geometry-optimized Ce2PmRe structure.

- Formation energy: 13.5 kcal/mol of atoms
- Energy above the most stable polymorph in this dataset: 436 meV per atom

Cell: 3.231 3.231 11.341 Å, 81.81 81.81 60.00°
Sites, in units of the cell vectors:
Re: 0.000 0.000 0.000
Ce: 0.075 0.075 0.776
Ce: 0.925 0.925 0.224
Pm: 0.500 0.500 0.500


A plane-wave DFT calculation with PBE was carried out for a geometry-optimized Ac3La2PmSe6 structure.

Cell: 7.563 7.563 7.590 Å, 99.58 99.58 120.13°
Sites, in units of the cell vectors:
Ac: 0.168 0.832 0.500
Ac: 0.832 0.168 0.500
Ac: 0.500 0.500 0.500
La: 0.334 0.666 0.000
La: 0.666 0.334 0.000
Pm: 0.000 0.000 0.000
Se: 0.921 0.592 0.763
Se: 0.751 0.751 0.239
Se: 0.079 0.408 0.237
Se: 0.592 0.921 0.763
Se: 0.249 0.249 0.761
Se: 0.408 0.079 0.237


A plane-wave DFT calculation with PBE was carried out for a geometry-optimized KMg2Ag structure.

- Formation energy: 4.3 kcal/mol of atoms
- Energy above the most stable polymorph in this dataset: 137 meV per atom

Cell: 6.628 6.628 6.628 Å, 151.28 128.75 59.81°
Sites, in units of the cell vectors:
Ag: 0.531 0.531 0.000
K: 0.274 0.774 0.500
Mg: 0.974 0.974 0.000
Mg: 0.721 0.221 0.500


A plane-wave DFT calculation with PBE was carried out for a geometry-optimized UIn2Au structure.

- Formation energy: 0.0 kcal/mol of atoms

Cell: 4.687 4.496 4.496 Å, 90.00 90.00 90.00°
Each line ends with the local moment (μB).
Sites, in units of the cell vectors:
Au: 0.500 0.500 0.500  0.04
U: 0.500 0.000 0.000  2.53
In: 0.000 0.000 0.500  0.03
In: 0.000 0.500 0.000  0.03


A plane-wave DFT calculation with PBE was carried out for a geometry-optimized KNaHg2Pt structure.

- Formation energy: -5.4 kcal/mol of atoms
- Energy above the most stable polymorph in this dataset: 0 meV per atom

Cell: 5.384 5.384 5.374 Å, 90.00 90.00 90.00°
Sites, in units of the cell vectors:
Na: 0.000 0.000 0.500
K: 0.500 0.500 0.500
Hg: 0.000 0.500 0.000
Hg: 0.500 0.000 0.000
Pt: 0.000 0.000 0.000


A plane-wave DFT calculation with PBE was carried out for a geometry-optimized LaTb6Er2Tm3 structure.

- Formation energy: 0.5 kcal/mol of atoms

Cell: 6.148 6.148 11.771 Å, 94.98 94.98 119.98°
Sites, in units of the cell vectors:
La: 0.000 0.000 0.000
Tb: 0.915 0.581 0.747
Tb: 0.750 0.750 0.254
Tb: 0.085 0.419 0.253
Tb: 0.581 0.915 0.747
Tb: 0.250 0.250 0.746
Tb: 0.419 0.085 0.253
Er: 0.333 0.667 0.000
Er: 0.667 0.333 0.000
Tm: 0.167 0.833 0.500
Tm: 0.833 0.167 0.500
Tm: 0.500 0.500 0.500


A plane-wave DFT calculation with PBE was carried out for a geometry-optimized SiGePt2 structure.

- Energy above the most stable polymorph in this dataset: 247 meV per atom

Cell: 5.506 5.506 6.785 Å, 66.06 66.06 90.00°
Sites, in units of the cell vectors:
Ge: 0.000 0.000 0.000
Ge: 0.750 0.250 0.500
Si: 0.500 0.500 0.000
Si: 0.250 0.750 0.500
Pt: 0.608 0.125 0.250
Pt: 0.142 0.625 0.250
Pt: 0.375 0.392 0.750
Pt: 0.875 0.858 0.750


A plane-wave DFT calculation with PBE was carried out for a geometry-optimized HfMn2SnH structure.

Cell: 4.088 4.088 4.017 Å, 90.00 90.00 90.00°
Each line ends with the local moment (μB).
Sites, in units of the cell vectors:
H: 0.000 0.000 0.000  -0.01
Mn: 0.000 0.500 0.000  1.98
Mn: 0.500 0.000 0.000  1.98
Hf: 0.000 0.000 0.500  -0.33
Sn: 0.500 0.500 0.500  -0.10


A plane-wave DFT calculation with PBE was carried out for a geometry-optimized Mn2Fe4Co structure.

- Formation energy: 4.1 kcal/mol of atoms

Cell: 6.184 6.272 4.722 Å, 97.24 77.59 107.58°
Each line ends with the local moment (μB).
Sites, in units of the cell vectors:
Mn: 0.707 0.724 0.274  2.76
Mn: 0.721 0.410 0.911  -2.65
Mn: 0.134 0.410 0.733  2.84
Mn: 0.521 0.095 0.212  2.76
Fe: 0.923 0.747 0.672  2.26
Fe: 0.325 0.097 0.794  2.50
Fe: 0.907 0.410 0.336  2.43
Fe: 0.105 0.070 0.396  2.20
Fe: 0.718 0.069 0.607  2.14
Fe: 0.317 0.414 0.169  2.46
Fe: 0.126 0.750 0.067  2.27
Fe: 0.513 0.728 0.854  2.45
Co: 0.316 0.755 0.471  1.53
Co: 0.916 0.074 0.003  1.54


| no. | VASP energy (eV/cell) |
| --- | --- |
| 1 | -38.10 |
| 2 | -21.57 |
| 3 | -77.79 |
| 4 | -26.73 |
| 5 | -70.69 |
| 6 | -6.40 |
| 7 | -20.05 |
| 8 | -10.23 |
| 9 | -54.97 |
| 10 | -46.89 |
| 11 | -36.00 |
| 12 | -116.07 |